Record 1
Below is crystalline ZnN at its relaxed geometry, with properties calculated at the PBE level.

Cell lengths 3.1836, 3.1836, 5.3621 Å; angles 90.00, 90.00, 120.00 degrees
With the nearest neighbours (Å) after each atom.
Fractional positions:
Zn (0.3333, 0.6667, 0.0000)  4 N 1.96-1.97
Zn (0.6667, 0.3333, 0.5000)  4 N 1.96-1.97
N (0.3333, 0.6667, 0.3653)  4 Zn 1.96-1.97
N (0.6667, 0.3333, 0.8653)  4 Zn 1.96-1.97

**SG**: P6_3mc (186)
**Energy above the lowest structure with this stoichiometry**: 17 meV/atom

***

Record 2
Below is crystalline NiPd3 at its relaxed geometry, with properties calculated at the PBE level.

Cell lengths 6.5101, 7.5189, 4.9078 Å; angles 90.00, 90.00, 90.00 degrees
With the nearest neighbours (Å) after each atom.
Fractional positions:
Ni (0.1113, 0.2500, 0.0953)  9 Pd 2.46-2.70
Ni (0.3887, 0.7500, 0.5953)  9 Pd 2.46-2.70
Ni (0.6113, 0.2500, 0.4047)  9 Pd 2.46-2.70
Ni (0.8887, 0.7500, 0.9047)  9 Pd 2.46-2.70
Pd (0.0301, 0.7500, 0.3880)  3 Ni 2.54-2.70
Pd (0.1921, 0.5518, 0.8983)  3 Ni 2.46-2.52, 2 Pd 2.68
Pd (0.1921, 0.9482, 0.8983)  3 Ni 2.46-2.52, 2 Pd 2.68
Pd (0.3079, 0.0518, 0.3983)  3 Ni 2.46-2.52, 2 Pd 2.68
Pd (0.3079, 0.4482, 0.3983)  3 Ni 2.46-2.52, 2 Pd 2.68
Pd (0.4699, 0.2500, 0.8880)  3 Ni 2.54-2.70
Pd (0.5301, 0.7500, 0.1120)  3 Ni 2.54-2.70
Pd (0.6921, 0.5518, 0.6017)  3 Ni 2.46-2.52, 2 Pd 2.68
Pd (0.6921, 0.9482, 0.6017)  3 Ni 2.46-2.52, 2 Pd 2.68
Pd (0.8079, 0.0518, 0.1017)  3 Ni 2.46-2.52, 2 Pd 2.68
Pd (0.8079, 0.4482, 0.1017)  3 Ni 2.46-2.52, 2 Pd 2.68
Pd (0.9699, 0.2500, 0.6120)  3 Ni 2.54-2.70

**SG**: Pnma (62)
**Calculated formation energy**: 146 meV/atom

***

Record 3
Below is crystalline HoAl4GaIr at its relaxed geometry, with properties calculated at the PBE level.

Cell lengths 4.2834, 4.2834, 6.9101 Å; angles 90.00, 90.00, 90.00 degrees
With the nearest neighbours (Å) after each atom.
Fractional positions:
Ho (0.0000, 0.0000, 0.0000)  8 Al 3.00, 4 Ga 3.03
Al (0.0000, 0.5000, 0.3043)  2 Ir 2.53, 1 Al 2.70
Al (0.0000, 0.5000, 0.6957)  2 Ir 2.53, 1 Al 2.70
Al (0.5000, 0.0000, 0.3043)  2 Ir 2.53, 1 Al 2.70
Al (0.5000, 0.0000, 0.6957)  2 Ir 2.53, 1 Al 2.70
Ga (0.5000, 0.5000, 0.0000)  8 Al 3.00, 4 Ho 3.03
Ir (0.0000, 0.0000, 0.5000)  8 Al 2.53

**SG**: P4/mmm (123)

***

Record 4
Below is crystalline Pr2Y2CBr2Cl3 at its relaxed geometry, with properties calculated at the PBE level.

Cell lengths 9.0243, 9.0243, 7.9669 Å; angles 103.23, 103.23, 24.39 degrees
With the nearest neighbours (Å) after each atom.
Fractional positions:
Pr (0.1479, 0.1479, 0.0799)  1 C 2.54
Pr (0.8521, 0.8521, 0.9201)  1 C 2.54
Y (0.4982, 0.4982, 0.2078)  2 C 2.53, 1 Cl 2.83
Y (0.5018, 0.5018, 0.7922)  2 C 2.53, 1 Cl 2.83
C (0.0000, 0.0000, 0.0000)  4 Y 2.53, 2 Pr 2.54
Br (0.3375, 0.3375, 0.6303)  1 Y 2.88, 2 Pr 2.96
Br (0.6625, 0.6625, 0.3697)  1 Y 2.88, 2 Pr 2.96
Cl (0.0000, 0.0000, 0.5000)  4 Y 3.00
Cl (0.3354, 0.3354, 0.1810)  1 Y 2.83, 2 Pr 2.89
Cl (0.6646, 0.6646, 0.8190)  1 Y 2.83, 2 Pr 2.89

**SG**: C2/m (12)
**Energy above the lowest structure with this stoichiometry**: 12 meV/atom

***

Record 5
Below is crystalline Cs2LaErSe4 at its relaxed geometry, with properties calculated at the PBE level.

Cell lengths 4.3558, 4.3558, 16.7070 Å; angles 90.00, 90.00, 120.00 degrees
With the nearest neighbours (Å) after each atom.
Fractional positions:
Cs (0.3333, 0.6667, 0.2460)  6 Se 3.61-3.63
Cs (0.6667, 0.3333, 0.7540)  6 Se 3.61-3.63
La (0.0000, 0.0000, 0.5000)  6 Se 3.01
Er (0.0000, 0.0000, 0.0000)  6 Se 2.92
Se (0.3333, 0.6667, 0.5992)  3 La 3.01
Se (0.3333, 0.6667, 0.9109)  3 Er 2.92
Se (0.6667, 0.3333, 0.0891)  3 Er 2.92
Se (0.6667, 0.3333, 0.4008)  3 La 3.01

**SG**: P-3m1 (164)

***

Record 6
Below is crystalline Li2Ni3Sb2 at its relaxed geometry, with properties calculated at the PBE level.

Cell lengths 7.2073, 7.2073, 7.2073 Å; angles 33.90, 33.90, 33.90 degrees
With the nearest neighbours (Å) after each atom.
Fractional positions:
Li (0.0000, 0.0000, 0.0000)  7 Ni 2.49-2.63
Li (0.4862, 0.4862, 0.4862)  5 Ni 2.53-2.66
Ni (0.3617, 0.3617, 0.3617)  4 Li 2.49-2.53, 4 Sb 2.53-2.63
Ni (0.6169, 0.6169, 0.6169)  4 Sb 2.60, 4 Li 2.63-2.66, 3 Ni 2.90
Ni (0.8716, 0.8716, 0.8716)  4 Sb 2.51-2.59, 4 Li 2.62-2.65
Sb (0.2374, 0.2374, 0.2374)  7 Ni 2.51-2.60
Sb (0.7444, 0.7444, 0.7444)  5 Ni 2.59-2.63, 6 Li 2.87-2.90

**SG**: R3m (160)

***

Record 7
Below is crystalline Sr2H6PdPt at its relaxed geometry, with properties calculated at the PBE level.

Cell lengths 5.4114, 5.4114, 5.4114 Å; angles 60.00, 60.00, 60.00 degrees
With the nearest neighbours (Å) after each atom.
Fractional positions:
Sr (0.2500, 0.2500, 0.2500)  12 H 2.71
Sr (0.7500, 0.7500, 0.7500)  12 H 2.71
H (0.2421, 0.2421, 0.7579)  1 Pt 1.85, 1 Pd 1.97
H (0.2421, 0.7579, 0.2421)  1 Pt 1.85, 1 Pd 1.97
H (0.2421, 0.7579, 0.7579)  1 Pt 1.85, 1 Pd 1.97
H (0.7579, 0.2421, 0.2421)  1 Pt 1.85, 1 Pd 1.97
H (0.7579, 0.2421, 0.7579)  1 Pt 1.85, 1 Pd 1.97
H (0.7579, 0.7579, 0.2421)  1 Pt 1.85, 1 Pd 1.97
Pd (0.5000, 0.5000, 0.5000)  6 H 1.97
Pt (0.0000, 0.0000, 0.0000)  6 H 1.85

**SG**: Fm-3m (225)

***

Record 8
Below is crystalline Tc at its relaxed geometry, with properties calculated at the PBE level.

Cell lengths 4.9037, 4.9037, 4.9037 Å; angles 90.00, 90.00, 90.00 degrees
With the nearest neighbours (Å) after each atom.
Fractional positions:
Tc (0.0000, 0.0000, 0.0000)  12 Tc 2.74
Tc (0.0000, 0.2500, 0.5000)  6 Tc 2.45-2.74
Tc (0.0000, 0.7500, 0.5000)  6 Tc 2.45-2.74
Tc (0.2500, 0.5000, 0.0000)  6 Tc 2.45-2.74
Tc (0.5000, 0.0000, 0.2500)  6 Tc 2.45-2.74
Tc (0.5000, 0.0000, 0.7500)  6 Tc 2.45-2.74
Tc (0.5000, 0.5000, 0.5000)  12 Tc 2.74
Tc (0.7500, 0.5000, 0.0000)  6 Tc 2.45-2.74

**SG**: Pm-3n (223)
**Calculated formation energy**: 120 meV/atom
**Energy above the lowest structure with this stoichiometry**: 120 meV/atom

***

Number 1: raw total energy -4.160 eV/atom. Number 2: raw total energy -5.127 eV/atom. Number 3: raw total energy -5.138 eV/atom. Number 4: raw total energy -5.636 eV/atom. Number 5: raw total energy -4.894 eV/atom. Number 6: raw total energy -4.488 eV/atom. Number 7: raw total energy -4.022 eV/atom. Number 8: raw total energy -10.241 eV/atom.